[1]
Compound: PuHfTcMo
Source: Alexandria via LeMat-Bulk
Functional: PBE-GGA
Structure: optimized geometry

Its formation energy is -0.051 eV per atom. The value obtained for the spin magnetization is 0.91 μB/atom.

The space group is F-43m (No. 216) and the conventional cell measures 6.647, 6.647 and 6.647 Å, with angles of 90.00, 90.00 and 90.00 degrees. The asymmetric unit holds Pu at (0.000, 0.000, 0.000), Hf at (0.000, 0.000, 0.500), Tc at (0.250, 0.250, 0.250) and Mo at (0.250, 0.250, 0.750).

[2]
Compound: PuHfZnMo
Source: Alexandria via LeMat-Bulk
Functional: PBE-GGA
Structure: optimized geometry

Its formation energy is 0.097 eV per atom. The value obtained for the spin magnetization is 1.31 μB/atom.

The space group is F-43m (No. 216) and the conventional cell measures 6.779, 6.779 and 6.779 Å, with angles of 90.00, 90.00 and 90.00 degrees. The asymmetric unit holds Pu at (0.000, 0.000, 0.000), Hf at (0.000, 0.000, 0.500), Zn at (0.250, 0.250, 0.750) and Mo at (0.250, 0.250, 0.250).

[3]
Compound: PuHfZrMo
Source: Alexandria via LeMat-Bulk
Functional: PBE-GGA
Structure: optimized geometry

Its formation energy is 0.189 eV per atom. The value obtained for the spin magnetization is 1.29 μB/atom.

The space group is F-43m (No. 216) and the conventional cell measures 6.904, 6.904 and 6.904 Å, with angles of 90.00, 90.00 and 90.00 degrees. The asymmetric unit holds Pu at (0.000, 0.000, 0.000), Hf at (0.250, 0.250, 0.250), Zr at (0.250, 0.250, 0.750) and Mo at (0.000, 0.000, 0.500).

[4]
Compound: Rb3HfMo
Source: Alexandria via LeMat-Bulk
Functional: PBE-GGA
Structure: optimized geometry

Its formation energy is 2.154 eV per atom. The value obtained for the spin magnetization is 1.80 μB/atom.

The space group is Pm-3m (No. 221) and the conventional cell measures 6.940, 6.940 and 6.940 Å, with angles of 90.00, 90.00 and 90.00 degrees. The asymmetric unit holds Rb at (0.000, 0.000, 0.500), Hf at (0.000, 0.000, 0.000) and Mo at (0.500, 0.500, 0.500).

[5]
Compound: Rb2HfMo
Source: Alexandria via LeMat-Bulk
Functional: PBE-GGA
Structure: optimized geometry

Its formation energy is 1.517 eV per atom. The value obtained for the spin magnetization is 0.34 μB/atom.

The space group is I-42d (No. 122) and the conventional cell measures 13.311, 13.311 and 4.803 Å, with angles of 90.00, 90.00 and 90.00 degrees. The asymmetric unit holds Rb at (0.092, 0.250, 0.125), Hf at (0.000, 0.000, 0.500) and Mo at (0.000, 0.000, 0.000).

[6]
Compound: Rb2HfMo
Source: Alexandria via LeMat-Bulk
Functional: PBE-GGA
Structure: optimized geometry

Its formation energy is 2.164 eV per atom. The value obtained for the spin magnetization is 0.51 μB/atom.

The space group is Fm-3m (No. 225) and the conventional cell measures 8.386, 8.386 and 8.386 Å, with angles of 90.00, 90.00 and 90.00 degrees. The asymmetric unit holds Rb at (0.250, 0.250, 0.250), Hf at (0.000, 0.000, 0.000) and Mo at (0.000, 0.000, 0.500).

[7]
Compound: RbHf2MoW
Source: Alexandria via LeMat-Bulk
Functional: PBE-GGA
Structure: optimized geometry

Its formation energy is 2.957 eV per atom. The value obtained for the spin magnetization is 0.07 μB/atom.

The space group is P4/mmm (No. 123) and the conventional cell measures 4.880, 4.880 and 4.589 Å, with angles of 90.00, 90.00 and 90.00 degrees. The asymmetric unit holds Rb at (0.000, 0.000, 0.000), Hf at (0.000, 0.500, 0.000), Mo at (0.000, 0.000, 0.500) and W at (0.500, 0.500, 0.500).

[8]
Compound: HfRe3Mo
Source: Alexandria via LeMat-Bulk
Functional: PBE-GGA
Structure: optimized geometry

Its formation energy is 2.595 eV per atom. The value obtained for the spin magnetization is 0.00 μB/atom.

The space group is Pm-3m (No. 221) and the conventional cell measures 4.670, 4.670 and 4.670 Å, with angles of 90.00, 90.00 and 90.00 degrees. The asymmetric unit holds Hf at (0.000, 0.000, 0.000), Re at (0.000, 0.000, 0.500) and Mo at (0.500, 0.500, 0.500).

[9]
Compound: HfReMo3
Source: Alexandria via LeMat-Bulk
Functional: PBE-GGA
Structure: optimized geometry

Its formation energy is 1.319 eV per atom. The value obtained for the spin magnetization is 0.00 μB/atom.

The space group is Pm-3m (No. 221) and the conventional cell measures 4.729, 4.729 and 4.729 Å, with angles of 90.00, 90.00 and 90.00 degrees. The asymmetric unit holds Hf at (0.000, 0.000, 0.000), Re at (0.500, 0.500, 0.500) and Mo at (0.000, 0.500, 0.500).

[10]
Compound: HfReMo2
Source: Alexandria via LeMat-Bulk
Functional: PBE-GGA
Structure: optimized geometry

Its formation energy is 0.577 eV per atom. The value obtained for the spin magnetization is 0.00 μB/atom.

The space group is I-42d (No. 122) and the conventional cell measures 7.372, 7.372 and 5.430 Å, with angles of 90.00, 90.00 and 90.00 degrees. The asymmetric unit holds Hf at (0.000, 0.000, 0.000), Re at (0.000, 0.000, 0.500) and Mo at (0.216, 0.250, 0.625).

[11]
Compound: HfReMo2
Source: Alexandria via LeMat-Bulk
Functional: PBE-GGA
Structure: optimized geometry

Its formation energy is -0.091 eV per atom. The value obtained for the spin magnetization is 0.00 μB/atom.

The space group is P4/mmm (No. 123) and the conventional cell measures 4.543, 4.543 and 3.211 Å, with angles of 90.00, 90.00 and 90.00 degrees. The asymmetric unit holds Hf at (0.000, 0.000, 0.000), Re at (0.500, 0.500, 0.000) and Mo at (0.000, 0.500, 0.500).

[12]
Compound: HfRe2Mo
Source: Alexandria via LeMat-Bulk
Functional: PBE-GGA
Structure: optimized geometry

Its formation energy is 0.629 eV per atom. The value obtained for the spin magnetization is 0.00 μB/atom.

The space group is I-42d (No. 122) and the conventional cell measures 7.303, 7.303 and 5.397 Å, with angles of 90.00, 90.00 and 90.00 degrees. The asymmetric unit holds Hf at (0.000, 0.000, 0.000), Re at (0.224, 0.250, 0.625) and Mo at (0.000, 0.000, 0.500).

Q: Which value of spin magnetization does entry 4 give?
A: 1.80 μB/atom